This record from Alexandria via LeMat-Bulk describes a geometry-optimized Hf4PtRh7 structure. The functional is PBE.

Output
Crystal system   triclinic
E_form   -0.7568 eV per atom
DOS at the Fermi energy   8.64 states/eV/cell

Cell lengths 5.5772, 6.4143, 6.4138 Å; angles 83.34, 63.83, 101.09 degrees
Closest atoms and distances in Å follow each position.
Fractional positions:
Hf  0.5093  0.2970  0.6488  6 Rh 2.61-2.83, 1 Pt 2.84
Hf  0.4907  0.7030  0.3512  6 Rh 2.61-2.83, 1 Pt 2.84
Hf  0.8069  0.6858  0.7943  8 Rh 2.67-2.95, 1 Pt 2.83
Hf  0.1931  0.3143  0.2057  8 Rh 2.67-2.95, 1 Pt 2.83
Pt  0.0000  0.0000  0.0000  8 Rh 2.79-3.01, 4 Hf 2.83-2.84
Rh  0.7447  0.9892  0.5086  4 Hf 2.61-2.69, 5 Rh 2.78-2.84, 1 Pt 2.91
Rh  0.2553  0.0108  0.4913  4 Hf 2.61-2.69, 5 Rh 2.78-2.84, 1 Pt 2.91
Rh  0.0028  0.6700  0.3233  5 Hf 2.74-2.98, 1 Pt 2.79, 6 Rh 2.80-2.94
Rh  0.9972  0.3300  0.6767  5 Hf 2.74-2.98, 1 Pt 2.79, 6 Rh 2.80-2.94
Rh  0.2822  0.6498  0.8391  5 Hf 2.77-2.93, 6 Rh 2.80-3.10, 1 Pt 3.01
Rh  0.5000  0.0000  0.0000  4 Hf 2.75-2.95, 2 Pt 2.79, 6 Rh 2.84-2.86
Rh  0.7178  0.3502  0.1609  5 Hf 2.77-2.93, 6 Rh 2.80-3.10, 1 Pt 3.01